Here is crystalline ScPdSN2 at its relaxed geometry from Alexandria. Energies are from GGA-PBE.

```
ScPdSN2
1.0
4.079 0.000 0.000
0.000 4.079 0.000
0.000 0.000 5.131
Sc Pd S N
1 1 1 2
Direct
0.000 0.000 0.000
0.500 0.500 0.500
0.000 0.000 0.500
0.000 0.500 0.000
0.500 0.000 0.000
```

Results
distance to the lowest polymorph of the same formula = 191 meV/atom
D(E_F) = 5.09 states/eV per cell
formation energy without anion corrections = 0.83 eV per atom
M_tot = 2.58 μB per formula unit